CaNpMoO6: relaxed, PBE+U.

Summary:
Its total DFT energy (no corrections) is -8.26 eV per atom. As for the space-group type: P4_2nm (102).

a = 4.9750 Å, b = 4.9750 Å, c = 10.0735 Å
α = 90.00°, β = 90.00°, γ = 90.00°
Fractional coordinates of all 18 atoms:
1 Ca 0.0000 0.0000 0.0000
2 Ca 0.5000 0.5000 0.5000
3 Np 0.0000 0.0000 0.3344
4 Np 0.5000 0.5000 0.8344
5 Mo 0.0000 0.0000 0.6661
6 Mo 0.5000 0.5000 0.1661
7 O 0.1771 0.1771 0.5043
8 O 0.2062 0.2062 0.8208
9 O 0.2097 0.2097 0.1862
10 O 0.2903 0.7097 0.6862
11 O 0.2938 0.7062 0.3208
12 O 0.3230 0.6770 0.0043
13 O 0.6770 0.3230 0.0043
14 O 0.7062 0.2938 0.3208
15 O 0.7097 0.2903 0.6862
16 O 0.7903 0.7903 0.1862
17 O 0.7938 0.7938 0.8208
18 O 0.8230 0.8230 0.5043